Entry from Alexandria: a relaxed structure of PrMgCd (PBE).

Lattice parameters (Å, degrees): 8.415 8.415 3.949 90.00 90.00 144.54
Sites, in units of the cell vectors:
Pr: 0.172 0.828 0.000
Pr: 0.828 0.172 0.000
Mg: 0.000 0.000 0.500
Mg: 0.500 0.500 0.000
Cd: 0.359 0.641 0.500
Cd: 0.641 0.359 0.500

Values from the calculation:
- raw total energy (eV/cell) = -15.8
- theoretical density (g/cm³) = 5.68
- space-group type = No. 65